DFT (PBE) results for a geometry-optimized CeDy2HoCo2 structure.

Unit cell a=6.5844 b=6.7895 c=7.9463 alpha=115.29 beta=114.48 gamma=90.00
Fractional positions:
Ce: 0.2500 0.5000 0.0000
Ce: 0.7500 0.5000 0.0000
Ho: 0.7500 0.0000 0.0000
Ho: 0.2500 0.0000 0.0000
Dy: 0.2019 0.5138 0.4038
Dy: 0.2981 0.1100 0.5962
Dy: 0.7019 0.8900 0.4038
Dy: 0.7981 0.4862 0.5962
Co: 0.0984 0.8093 0.1968
Co: 0.4016 0.6125 0.8032
Co: 0.5984 0.3875 0.1968
Co: 0.9016 0.1907 0.8032

- Energy of formation from the pure elements: -0.109 eV/atom
- Density: 8.700 g/cm³
- Space-group type: Ibam